# PBE Pm2PrSmN4, optimized geometry
data_Pm2PrSmN4
_chemical_formula_sum 'Pm2 Pr1 Sm1 N4'
_space_group_name_H-M_alt 'P 1'
_space_group_IT_number 1
_cell_length_a 3.629
_cell_length_b 6.281
_cell_length_c 6.281
_cell_angle_alpha 109.42
_cell_angle_beta 90.00
_cell_angle_gamma 90.00
loop_
_space_group_symop_operation_xyz
'x,y,z'
loop_
_atom_site_label
_atom_site_fract_x
_atom_site_fract_y
_atom_site_fract_z
_atom_site_occupancy
Sm1 0.000 0.000 0.000 1
N1 0.000 0.246 0.747 1
N2 0.500 0.247 0.251 1
N3 0.000 0.754 0.253 1
N4 0.500 0.753 0.749 1
Pm1 0.500 0.000 0.500 1
Pm2 0.000 0.500 0.500 1
Pr1 0.500 0.500 0.000 1
# **DOS at the Fermi energy**: 0.068 states/eV/atom
# **E_form (uncorrected)**: -1.406 eV per atom

# PBE Tl4Co, optimized geometry
data_Tl4Co
_chemical_formula_sum 'Tl4 Co1'
_space_group_name_H-M_alt 'P 1'
_space_group_IT_number 1
_cell_length_a 5.129
_cell_length_b 5.129
_cell_length_c 5.129
_cell_angle_alpha 90.00
_cell_angle_beta 90.00
_cell_angle_gamma 90.00
loop_
_space_group_symop_operation_xyz
'x,y,z'
loop_
_atom_site_label
_atom_site_fract_x
_atom_site_fract_y
_atom_site_fract_z
_atom_site_occupancy
Tl1 0.000 0.500 0.500 1
Tl2 0.000 0.000 0.000 1
Tl3 0.500 0.500 0.000 1
Tl4 0.500 0.000 0.500 1
Co1 0.500 0.500 0.500 1
# **Energy above the most stable polymorph in this dataset**: 0 meV per atom
# **DOS at the Fermi energy**: 0.669 states/eV/atom

# PBE PmScP, optimized geometry
data_PmScP
_chemical_formula_sum 'Pm1 Sc1 P1'
_space_group_name_H-M_alt 'P 1'
_space_group_IT_number 1
_cell_length_a 4.631
_cell_length_b 4.631
_cell_length_c 4.631
_cell_angle_alpha 60.00
_cell_angle_beta 60.00
_cell_angle_gamma 60.00
loop_
_space_group_symop_operation_xyz
'x,y,z'
loop_
_atom_site_label
_atom_site_fract_x
_atom_site_fract_y
_atom_site_fract_z
_atom_site_occupancy
Sc1 0.000 0.000 0.000 1
Pm1 0.500 0.500 0.500 1
P1 0.250 0.250 0.250 1
# **Energy above the most stable polymorph in this dataset**: 74 meV per atom
# **DOS at the Fermi energy**: 0.817 states/eV/atom

- Which of these has the lowest DOS at the Fermi energy?
  Pm2PrSmN4